(1)
DFT (GGA-PBE) results for an optimized crystal structure of NaPbSe2Br.

Calculated values
E_form (uncorrected) in eV per atom: -0.031
Total magnetic moment in μB/f.u.: 0.00

Cell lengths 5.130, 5.130, 5.507 Å; angles 90.00, 90.00, 90.00 degrees
Atoms (fractional coordinates):
Na 0.000 0.000 0.000
Pb 0.500 0.500 0.500
Se 0.000 0.500 0.000
Se 0.500 0.000 0.000
Br 0.000 0.000 0.500


(2)
DFT (GGA-PBE) results for an optimized crystal structure of MgFe2Ni.

Calculated values
Total DFT energy (no corrections) in eV per atom: -5.8841
Total magnetic moment in μB/f.u.: 5.52

Cell lengths 3.101, 3.101, 5.555 Å; angles 90.00, 90.00, 90.00 degrees
Atoms (fractional coordinates):
Mg 0.000 0.000 0.000
Fe 0.500 0.500 0.292
Fe 0.500 0.500 0.708
Ni 0.000 0.000 0.500